Density functional theory data (GGA+U) for an optimized crystal structure of LaV2NiO8.

Unit cell a=5.7998 b=5.7998 c=6.1185 alpha=90.00 beta=90.00 gamma=120.00
Space group P-3m1 (No. 164)
Asymmetric unit:
La (0.0000, 0.0000, 0.0000)
V (0.3333, 0.6667, 0.6245)
Ni (0.0000, 0.0000, 0.5000)
O (0.1635, 0.3269, 0.7113)
O (0.3333, 0.6667, 0.3545)

Calculated values
Electronic total energy: -84.8 eV for the cell shown